The following is a DFT calculation (PBE) of K2ScBeSe after structural relaxation.

Computed properties:
- E: -0.101 Ha/atom
- Formation energy without anion corrections: 0.408 eV per atom
- D(E_F): 1.043 states/eV/atom

Cell lengths 6.7392, 4.1315, 6.7392 Å; angles 90.00, 90.00, 90.00 degrees
Closest atoms and distances in Å follow each position.
Fractional positions:
Sc (0.5000, 0.5000, 0.5000)  8 K 3.95, 2 Sc 4.13
Be (0.0000, 0.5000, 0.0000)  2 Se 2.07
K (0.0000, 0.0000, 0.5000)  2 Se 3.37
K (0.5000, 0.0000, 0.0000)  2 Se 3.37
Se (0.0000, 0.0000, 0.0000)  2 Be 2.07